{
  "formula": "Cr2Ir2Ru",
  "functional": "PBE-GGA",
  "state": "optimized geometry",
  "cell": [[4.2872, 0.0000, 0.0000], [0.0000, 11.9748, 0.0000], [0.0000, 0.0000, 2.6780]],
  "species": ["Cr", "Cr", "Cr", "Cr", "Ir", "Ir", "Ir", "Ir", "Ru", "Ru"],
  "fractional_positions": [[0.0000, 0.1902, 0.0000], [0.0000, 0.8098, 0.0000], [0.5000, 0.3098, 0.0000], [0.5000, 0.6902, 0.0000], [0.0000, 0.3712, 0.5000], [0.0000, 0.6288, 0.5000], [0.5000, 0.1288, 0.5000], [0.5000, 0.8712, 0.5000], [0.0000, 0.0000, 0.5000], [0.5000, 0.5000, 0.5000]],
  "spacegroup": "Cmmm, No. 65",
  "delta_e_f_mev_per_atom": 46.7,
  "n_ef_per_ev_atom": 1.15,
  "magmom_total_mub_per_fu": 0.00,
  "de_polymorph_kj_per_mol_atoms": 0.0
}

=====

{
  "formula": "CrIrRu2",
  "functional": "PBE-GGA",
  "state": "optimized geometry",
  "cell": [[2.6976, 0.0000, 0.0000], [0.0000, 2.6976, 0.0000], [0.0000, 0.0000, 7.4676]],
  "species": ["Cr", "Ir", "Ru", "Ru"],
  "fractional_positions": [[0.0000, 0.0000, 0.0000], [0.0000, 0.0000, 0.5000], [0.5000, 0.5000, 0.2376], [0.5000, 0.5000, 0.7624]],
  "spacegroup": "P4/mmm, No. 123",
  "delta_e_f_mev_per_atom": 46.9,
  "n_ef_per_ev_atom": 1.00,
  "magmom_total_mub_per_fu": 0.00,
  "de_polymorph_kj_per_mol_atoms": 11.7
}

=====

{
  "formula": "Cr2IrRu",
  "functional": "PBE-GGA",
  "state": "optimized geometry",
  "cell": [[2.8471, 0.0000, 0.0000], [0.0000, 4.2846, 0.0000], [0.0000, 0.0000, 8.5910]],
  "species": ["Cr", "Cr", "Cr", "Cr", "Ir", "Ir", "Ru", "Ru"],
  "fractional_positions": [[0.0000, 0.0000, 0.0000], [0.0000, 0.5000, 0.2944], [0.5000, 0.0000, 0.7944], [0.5000, 0.5000, 0.5000], [0.0000, 0.5000, 0.7546], [0.5000, 0.0000, 0.2546], [0.0000, 0.0000, 0.5416], [0.5000, 0.5000, 0.0416]],
  "spacegroup": "Imm2, No. 44",
  "delta_e_f_mev_per_atom": 84.8,
  "n_ef_per_ev_atom": 1.39,
  "magmom_total_mub_per_fu": 0.00
}

=====

{
  "formula": "ScCrIrRu",
  "functional": "PBE-GGA",
  "state": "optimized geometry",
  "cell": [[6.2360, 0.0000, 0.0000], [0.0000, 6.2360, 0.0000], [0.0000, 0.0000, 6.2360]],
  "species": ["Sc", "Sc", "Sc", "Sc", "Cr", "Cr", "Cr", "Cr", "Ir", "Ir", "Ir", "Ir", "Ru", "Ru", "Ru", "Ru"],
  "fractional_positions": [[0.0000, 0.0000, 0.0000], [0.0000, 0.5000, 0.5000], [0.5000, 0.0000, 0.5000], [0.5000, 0.5000, 0.0000], [0.0000, 0.0000, 0.5000], [0.0000, 0.5000, 0.0000], [0.5000, 0.0000, 0.0000], [0.5000, 0.5000, 0.5000], [0.2500, 0.2500, 0.2500], [0.2500, 0.7500, 0.7500], [0.7500, 0.2500, 0.7500], [0.7500, 0.7500, 0.2500], [0.2500, 0.2500, 0.7500], [0.2500, 0.7500, 0.2500], [0.7500, 0.2500, 0.2500], [0.7500, 0.7500, 0.7500]],
  "spacegroup": "F-43m, No. 216",
  "delta_e_f_mev_per_atom": -308.0,
  "n_ef_per_ev_atom": 0.83,
  "magmom_total_mub_per_fu": 2.26
}

=====

{
  "formula": "ZnCrIrRu",
  "functional": "PBE-GGA",
  "state": "optimized geometry",
  "cell": [[6.0092, 0.0000, 0.0000], [0.0000, 6.0092, 0.0000], [0.0000, 0.0000, 6.0092]],
  "species": ["Zn", "Zn", "Zn", "Zn", "Cr", "Cr", "Cr", "Cr", "Ir", "Ir", "Ir", "Ir", "Ru", "Ru", "Ru", "Ru"],
  "fractional_positions": [[0.0000, 0.0000, 0.0000], [0.0000, 0.5000, 0.5000], [0.5000, 0.0000, 0.5000], [0.5000, 0.5000, 0.0000], [0.0000, 0.0000, 0.5000], [0.0000, 0.5000, 0.0000], [0.5000, 0.0000, 0.0000], [0.5000, 0.5000, 0.5000], [0.2500, 0.2500, 0.7500], [0.2500, 0.7500, 0.2500], [0.7500, 0.2500, 0.2500], [0.7500, 0.7500, 0.7500], [0.2500, 0.2500, 0.2500], [0.2500, 0.7500, 0.7500], [0.7500, 0.2500, 0.7500], [0.7500, 0.7500, 0.2500]],
  "spacegroup": "F-43m, No. 216",
  "delta_e_f_mev_per_atom": -68.6,
  "n_ef_per_ev_atom": 1.16,
  "magmom_total_mub_per_fu": 1.28
}

=====

{
  "formula": "ZrCrIrRu",
  "functional": "PBE-GGA",
  "state": "optimized geometry",
  "cell": [[6.3535, 0.0000, 0.0000], [0.0000, 6.3535, 0.0000], [0.0000, 0.0000, 6.3535]],
  "species": ["Zr", "Zr", "Zr", "Zr", "Cr", "Cr", "Cr", "Cr", "Ir", "Ir", "Ir", "Ir", "Ru", "Ru", "Ru", "Ru"],
  "fractional_positions": [[0.0000, 0.0000, 0.0000], [0.0000, 0.5000, 0.5000], [0.5000, 0.0000, 0.5000], [0.5000, 0.5000, 0.0000], [0.0000, 0.0000, 0.5000], [0.0000, 0.5000, 0.0000], [0.5000, 0.0000, 0.0000], [0.5000, 0.5000, 0.5000], [0.2500, 0.2500, 0.7500], [0.2500, 0.7500, 0.2500], [0.7500, 0.2500, 0.2500], [0.7500, 0.7500, 0.7500], [0.2500, 0.2500, 0.2500], [0.2500, 0.7500, 0.7500], [0.7500, 0.2500, 0.7500], [0.7500, 0.7500, 0.2500]],
  "spacegroup": "F-43m, No. 216",
  "delta_e_f_mev_per_atom": -251.6,
  "n_ef_per_ev_atom": 1.14,
  "magmom_total_mub_per_fu": 3.24
}